--- P ---
A plane-wave DFT calculation with PBEsol was carried out for a relaxed Al2CuMo crystal.

Output
Space-group type: P4/mmm, No. 123
Magnetization, Bohr magnetons per cell: 0.00

abc: 2.7329 2.7329 7.4696
angles: 90.00 90.00 90.00
With the nearest neighbours (Å) after each atom.
Sites, in units of the cell vectors:
Al 0.0000 0.0000 0.2317  4 Cu 2.59, 4 Al 2.73, 4 Mo 2.78
Al 0.0000 0.0000 0.7683  4 Cu 2.59, 4 Al 2.73, 4 Mo 2.78
Cu 0.5000 0.5000 0.0000  8 Al 2.59, 4 Cu 2.73
Mo 0.5000 0.5000 0.5000  4 Mo 2.73, 8 Al 2.78

***

--- Q ---
A plane-wave DFT calculation with PBEsol was carried out for a relaxed Al2CuMo crystal.

Output
Space-group type: Pmm2, No. 25
Magnetization, Bohr magnetons per cell: 0.00

abc: 2.7809 3.7679 5.3798
angles: 90.00 90.00 90.00
With the nearest neighbours (Å) after each atom.
Sites, in units of the cell vectors:
Al 0.0000 0.0000 0.0000  2 Cu 2.65-2.73, 4 Mo 2.65, 6 Al 2.78
Al 0.5000 0.5000 0.2774  4 Cu 2.61, 2 Mo 2.65-2.73, 6 Al 2.78
Cu 0.0000 0.0000 0.4917  6 Al 2.61-2.73, 4 Mo 2.78, 2 Cu 2.78
Mo 0.5000 0.5000 0.7691  6 Al 2.65-2.73, 4 Cu 2.78, 2 Mo 2.78

***

--- R ---
A plane-wave DFT calculation with PBEsol was carried out for a relaxed Al2CuMo crystal.

Output
Space-group type: Cmmm, No. 65
Magnetization, Bohr magnetons per cell: 0.00

abc: 5.6803 7.1002 2.8011
angles: 90.00 90.00 90.00
With the nearest neighbours (Å) after each atom.
Sites, in units of the cell vectors:
Al 0.2500 0.2500 0.0000  4 Mo 2.67, 4 Cu 2.67, 4 Al 2.80-2.84
Al 0.2500 0.7500 0.0000  4 Mo 2.67, 4 Cu 2.67, 4 Al 2.80-2.84
Al 0.7500 0.2500 0.0000  4 Mo 2.67, 4 Cu 2.67, 4 Al 2.80-2.84
Al 0.7500 0.7500 0.0000  4 Mo 2.67, 4 Cu 2.67, 4 Al 2.80-2.84
Cu 0.0000 0.0000 0.5000  8 Al 2.67, 2 Cu 2.80, 2 Mo 2.84
Cu 0.5000 0.5000 0.5000  8 Al 2.67, 2 Cu 2.80, 2 Mo 2.84
Mo 0.0000 0.5000 0.5000  8 Al 2.67, 2 Mo 2.80, 2 Cu 2.84
Mo 0.5000 0.0000 0.5000  8 Al 2.67, 2 Mo 2.80, 2 Cu 2.84

***

R ends up most stable, edging out the next structure by 68 meV/atom.

***

--- P ---
A plane-wave DFT calculation with PBEsol was carried out for a relaxed Al2CuMo crystal.

Output
Space-group type: P4mm, No. 99
Magnetization, Bohr magnetons per cell: 0.00

abc: 2.6836 2.6836 7.9413
angles: 90.00 90.00 90.00
With the nearest neighbours (Å) after each atom.
Sites, in units of the cell vectors:
Al 0.0000 0.0000 0.0000  4 Cu 2.58, 4 Al 2.68
Al 0.5000 0.5000 0.2782  8 Al 2.68-2.91, 4 Mo 2.78
Cu 0.5000 0.5000 0.7790  4 Al 2.58, 4 Cu 2.68, 4 Mo 2.72
Mo 0.0000 0.0000 0.5333  4 Mo 2.68, 4 Cu 2.72, 4 Al 2.78

***

--- Q ---
A plane-wave DFT calculation with PBEsol was carried out for a relaxed Al2CuMo crystal.

Output
Space-group type: I-4m2, No. 119
Magnetization, Bohr magnetons per cell: 0.00

abc: 3.6071 3.6071 8.5674
angles: 90.00 90.00 90.00
With the nearest neighbours (Å) after each atom.
Sites, in units of the cell vectors:
Al 0.0000 0.0000 0.0000  4 Cu 2.55, 4 Al 2.80, 4 Mo 2.80
Al 0.0000 0.5000 0.2500  4 Mo 2.55, 4 Al 2.80, 4 Cu 2.80
Al 0.5000 0.0000 0.7500  4 Mo 2.55, 4 Cu 2.80, 4 Al 2.80
Al 0.5000 0.5000 0.5000  4 Cu 2.55, 4 Al 2.80, 4 Mo 2.80
Cu 0.0000 0.0000 0.5000  8 Al 2.55-2.80, 4 Mo 2.80
Cu 0.5000 0.5000 0.0000  8 Al 2.55-2.80, 4 Mo 2.80
Mo 0.0000 0.5000 0.7500  8 Al 2.55-2.80, 4 Cu 2.80
Mo 0.5000 0.0000 0.2500  8 Al 2.55-2.80, 4 Cu 2.80

***

--- R ---
A plane-wave DFT calculation with PBEsol was carried out for a relaxed Al2CuMo crystal.

Output
Space-group type: P4/mmm, No. 123
Magnetization, Bohr magnetons per cell: 0.16

abc: 3.9728 3.9728 3.4933
angles: 90.00 90.00 90.00
With the nearest neighbours (Å) after each atom.
Sites, in units of the cell vectors:
Al 0.0000 0.5000 0.0000  4 Mo 2.65, 4 Cu 2.65, 4 Al 2.81
Al 0.5000 0.0000 0.0000  4 Mo 2.65, 4 Cu 2.65, 4 Al 2.81
Cu 0.0000 0.0000 0.5000  8 Al 2.65, 4 Mo 2.81
Mo 0.5000 0.5000 0.5000  8 Al 2.65, 4 Cu 2.81

***

R ends up most stable, edging out the next structure by 59 meV/atom.

***

--- P ---
A plane-wave DFT calculation with PBEsol was carried out for a relaxed AlCu3Mo crystal.

Output
Space-group type: Pm-3m, No. 221
Magnetization, Bohr magnetons per cell: 0.00

abc: 4.5931 4.5931 4.5931
angles: 90.00 90.00 90.00
With the nearest neighbours (Å) after each atom.
Sites, in units of the cell vectors:
Al 0.0000 0.0000 0.0000  12 Cu 3.25
Cu 0.0000 0.5000 0.5000  2 Mo 2.30
Cu 0.5000 0.0000 0.5000  2 Mo 2.30
Cu 0.5000 0.5000 0.0000  2 Mo 2.30
Mo 0.5000 0.5000 0.5000  6 Cu 2.30

***

--- Q ---
A plane-wave DFT calculation with PBEsol was carried out for a relaxed AlCu3Mo crystal.

Output
Space-group type: Pm-3m, No. 221
Magnetization, Bohr magnetons per cell: 0.00

abc: 4.2087 4.2087 4.2087
angles: 90.00 90.00 90.00
With the nearest neighbours (Å) after each atom.
Sites, in units of the cell vectors:
Al 0.0000 0.0000 0.0000  6 Cu 2.10
Cu 0.0000 0.0000 0.5000  2 Al 2.10
Cu 0.0000 0.5000 0.0000  2 Al 2.10
Cu 0.5000 0.0000 0.0000  2 Al 2.10
Mo 0.5000 0.5000 0.5000  12 Cu 2.98

***

Q ends up most stable, edging out the next structure by 477 meV/atom.

***

--- P ---
A plane-wave DFT calculation with PBEsol was carried out for a relaxed AlCu2Ni5 crystal.

Output
Space-group type: Pbam, No. 55
Magnetization, Bohr magnetons per cell: 0.00

abc: 4.9323 9.8780 3.5488
angles: 90.00 90.00 90.00
With the nearest neighbours (Å) after each atom.
Sites, in units of the cell vectors:
Al 0.0000 0.0000 0.0000  8 Ni 2.46-2.47, 4 Cu 2.54
Al 0.5000 0.5000 0.0000  8 Ni 2.46-2.47, 4 Cu 2.54
Cu 0.2344 0.3719 0.5000  10 Ni 2.44-2.50, 2 Al 2.54
Cu 0.2656 0.8719 0.5000  10 Ni 2.44-2.50, 2 Al 2.54
Cu 0.7344 0.1281 0.5000  10 Ni 2.44-2.50, 2 Al 2.54
Cu 0.7656 0.6281 0.5000  10 Ni 2.44-2.50, 2 Al 2.54
Ni 0.0000 0.5000 0.0000  2 Al 2.47, 4 Cu 2.47, 6 Ni 2.47-2.51
Ni 0.0160 0.7499 0.0000  7 Ni 2.47-2.50, 1 Al 2.47, 4 Cu 2.47
Ni 0.2388 0.1241 0.5000  4 Cu 2.44-2.50, 2 Al 2.46, 6 Ni 2.48-2.51
Ni 0.2612 0.6241 0.5000  4 Cu 2.44-2.50, 2 Al 2.46, 6 Ni 2.48-2.51
Ni 0.4840 0.2499 0.0000  7 Ni 2.47-2.50, 1 Al 2.47, 4 Cu 2.47
Ni 0.5000 0.0000 0.0000  2 Al 2.47, 4 Cu 2.47, 6 Ni 2.47-2.51
Ni 0.5160 0.7501 0.0000  7 Ni 2.47-2.50, 1 Al 2.47, 4 Cu 2.47
Ni 0.7388 0.3759 0.5000  4 Cu 2.44-2.50, 2 Al 2.46, 6 Ni 2.48-2.51
Ni 0.7612 0.8759 0.5000  4 Cu 2.44-2.50, 2 Al 2.46, 6 Ni 2.48-2.51
Ni 0.9840 0.2501 0.0000  7 Ni 2.47-2.50, 1 Al 2.47, 4 Cu 2.47

***

--- Q ---
A plane-wave DFT calculation with PBEsol was carried out for a relaxed AlCu2Ni5 crystal.

Output
Space-group type: I4/mmm, No. 139
Magnetization, Bohr magnetons per cell: 1.83

abc: 3.5453 3.5453 13.7632
angles: 90.00 90.00 90.00
With the nearest neighbours (Å) after each atom.
Sites, in units of the cell vectors:
Al 0.0000 0.0000 0.0000  12 Ni 2.46-2.51
Al 0.5000 0.5000 0.5000  12 Ni 2.46-2.51
Cu 0.0000 0.0000 0.2500  8 Ni 2.48, 4 Cu 2.51
Cu 0.0000 0.0000 0.7500  8 Ni 2.48, 4 Cu 2.51
Cu 0.5000 0.5000 0.2500  8 Ni 2.48, 4 Cu 2.51
Cu 0.5000 0.5000 0.7500  8 Ni 2.48, 4 Cu 2.51
Ni 0.0000 0.0000 0.5000  8 Ni 2.46, 4 Al 2.51
Ni 0.0000 0.5000 0.1243  2 Al 2.46, 6 Ni 2.46-2.51, 4 Cu 2.48
Ni 0.0000 0.5000 0.3757  2 Al 2.46, 6 Ni 2.46-2.51, 4 Cu 2.48
Ni 0.0000 0.5000 0.6243  2 Al 2.46, 6 Ni 2.46-2.51, 4 Cu 2.48
Ni 0.0000 0.5000 0.8757  2 Al 2.46, 6 Ni 2.46-2.51, 4 Cu 2.48
Ni 0.5000 0.0000 0.1243  2 Al 2.46, 6 Ni 2.46-2.51, 4 Cu 2.48
Ni 0.5000 0.0000 0.3757  2 Al 2.46, 6 Ni 2.46-2.51, 4 Cu 2.48
Ni 0.5000 0.0000 0.6243  2 Al 2.46, 6 Ni 2.46-2.51, 4 Cu 2.48
Ni 0.5000 0.0000 0.8757  2 Al 2.46, 6 Ni 2.46-2.51, 4 Cu 2.48
Ni 0.5000 0.5000 0.0000  8 Ni 2.46, 4 Al 2.51

***

Q ends up most stable, edging out the next structure by 28 meV/atom.

***

--- P ---
A plane-wave DFT calculation with PBEsol was carried out for a relaxed Al2CuNi5 crystal.

Output
Space-group type: Pbam, No. 55
Magnetization, Bohr magnetons per cell: 0.00

abc: 4.9693 9.9336 3.5599
angles: 90.00 90.00 90.00
With the nearest neighbours (Å) after each atom.
Sites, in units of the cell vectors:
Al 0.2347 0.1287 0.0000  10 Ni 2.46-2.51, 2 Cu 2.56
Al 0.2653 0.6287 0.0000  10 Ni 2.46-2.51, 2 Cu 2.56
Al 0.7347 0.3713 0.0000  10 Ni 2.46-2.51, 2 Cu 2.56
Al 0.7653 0.8713 0.0000  10 Ni 2.46-2.51, 2 Cu 2.56
Cu 0.0000 0.5000 0.5000  8 Ni 2.47-2.48, 4 Al 2.56
Cu 0.5000 0.0000 0.5000  8 Ni 2.47-2.48, 4 Al 2.56
Ni 0.0000 0.0000 0.5000  4 Al 2.48, 2 Cu 2.48, 6 Ni 2.48-2.52
Ni 0.0158 0.7500 0.5000  4 Al 2.48, 1 Cu 2.48, 7 Ni 2.48-2.52
Ni 0.2394 0.3766 0.0000  4 Al 2.46-2.51, 2 Cu 2.47, 6 Ni 2.50-2.52
Ni 0.2606 0.8766 0.0000  4 Al 2.46-2.51, 2 Cu 2.47, 6 Ni 2.50-2.52
Ni 0.4842 0.2500 0.5000  4 Al 2.48, 1 Cu 2.48, 7 Ni 2.48-2.52
Ni 0.5000 0.5000 0.5000  4 Al 2.48, 2 Cu 2.48, 6 Ni 2.48-2.52
Ni 0.5158 0.7500 0.5000  4 Al 2.48, 1 Cu 2.48, 7 Ni 2.48-2.52
Ni 0.7394 0.1234 0.0000  4 Al 2.46-2.51, 2 Cu 2.47, 6 Ni 2.50-2.52
Ni 0.7606 0.6234 0.0000  4 Al 2.46-2.51, 2 Cu 2.47, 6 Ni 2.50-2.52
Ni 0.9842 0.2500 0.5000  4 Al 2.48, 1 Cu 2.48, 7 Ni 2.48-2.52

***

--- Q ---
A plane-wave DFT calculation with PBEsol was carried out for a relaxed Al2CuNi5 crystal.

Output
Space-group type: I4/mmm, No. 139
Magnetization, Bohr magnetons per cell: 0.01

abc: 4.0854 4.0854 10.6193
angles: 90.00 90.00 90.00
With the nearest neighbours (Å) after each atom.
Sites, in units of the cell vectors:
Al 0.0000 0.0000 0.2488  9 Ni 2.44-2.64, 1 Cu 2.67
Al 0.0000 0.0000 0.7512  9 Ni 2.44-2.64, 1 Cu 2.67
Al 0.5000 0.5000 0.2512  9 Ni 2.44-2.64, 1 Cu 2.67
Al 0.5000 0.5000 0.7488  9 Ni 2.44-2.64, 1 Cu 2.67
Cu 0.0000 0.0000 0.5000  8 Ni 2.43, 2 Al 2.67
Cu 0.5000 0.5000 0.0000  8 Ni 2.43, 2 Al 2.67
Ni 0.0000 0.0000 0.0000  8 Ni 2.43, 2 Al 2.64
Ni 0.0000 0.5000 0.1234  2 Cu 2.43, 4 Ni 2.43-2.69, 4 Al 2.44-2.45
Ni 0.0000 0.5000 0.3766  2 Cu 2.43, 4 Ni 2.43-2.69, 4 Al 2.44-2.45
Ni 0.0000 0.5000 0.6234  4 Ni 2.43-2.69, 2 Cu 2.43, 4 Al 2.44-2.45
Ni 0.0000 0.5000 0.8766  2 Cu 2.43, 4 Ni 2.43-2.69, 4 Al 2.44-2.45
Ni 0.5000 0.0000 0.1234  2 Cu 2.43, 4 Ni 2.43-2.69, 4 Al 2.44-2.45
Ni 0.5000 0.0000 0.3766  2 Cu 2.43, 4 Ni 2.43-2.69, 4 Al 2.44-2.45
Ni 0.5000 0.0000 0.6234  4 Ni 2.43-2.69, 2 Cu 2.43, 4 Al 2.44-2.45
Ni 0.5000 0.0000 0.8766  2 Cu 2.43, 4 Ni 2.43-2.69, 4 Al 2.44-2.45
Ni 0.5000 0.5000 0.5000  8 Ni 2.43, 2 Al 2.64

***

P ends up most stable, edging out the next structure by 85 meV/atom.

***

--- P ---
A plane-wave DFT calculation with PBEsol was carried out for a relaxed Al2Cu2Ni crystal.

Output
Space-group type: I4/mmm, No. 139
Magnetization, Bohr magnetons per cell: 0.00

abc: 3.1860 3.1860 13.2478
angles: 90.00 90.00 90.00
With the nearest neighbours (Å) after each atom.
Sites, in units of the cell vectors:
Al 0.0000 0.0000 0.0983  4 Cu 2.56, 4 Ni 2.60, 1 Al 2.61
Al 0.0000 0.0000 0.9017  4 Cu 2.56, 4 Ni 2.60, 1 Al 2.61
Al 0.5000 0.5000 0.4017  4 Cu 2.56, 4 Ni 2.60, 1 Al 2.61
Al 0.5000 0.5000 0.5983  4 Cu 2.56, 4 Ni 2.60, 1 Al 2.61
Cu 0.0000 0.5000 0.2500  4 Cu 2.25
Cu 0.0000 0.5000 0.7500  4 Cu 2.25
Cu 0.5000 0.0000 0.2500  4 Cu 2.25
Cu 0.5000 0.0000 0.7500  4 Cu 2.25
Ni 0.0000 0.0000 0.5000  8 Al 2.60
Ni 0.5000 0.5000 0.0000  8 Al 2.60

***

--- Q ---
A plane-wave DFT calculation with PBEsol was carried out for a relaxed Al2Cu2Ni crystal.

Output
Space-group type: Cmmm, No. 65
Magnetization, Bohr magnetons per cell: 0.00

abc: 4.0305 11.5154 2.7188
angles: 90.00 90.00 90.00
With the nearest neighbours (Å) after each atom.
Sites, in units of the cell vectors:
Al 0.0000 0.1213 0.0000  2 Ni 2.45, 6 Cu 2.53-2.63, 2 Al 2.72
Al 0.0000 0.8787 0.0000  2 Ni 2.45, 6 Cu 2.53-2.63, 2 Al 2.72
Al 0.5000 0.3787 0.0000  2 Ni 2.45, 6 Cu 2.53-2.63, 2 Al 2.72
Al 0.5000 0.6213 0.0000  2 Ni 2.45, 6 Cu 2.53-2.63, 2 Al 2.72
Cu 0.0000 0.3164 0.5000  2 Ni 2.51, 4 Cu 2.53-2.72, 6 Al 2.53-2.63
Cu 0.0000 0.6836 0.5000  2 Ni 2.51, 4 Cu 2.53-2.72, 6 Al 2.53-2.63
Cu 0.5000 0.1836 0.5000  2 Ni 2.51, 4 Cu 2.53-2.72, 6 Al 2.53-2.63
Cu 0.5000 0.8164 0.5000  2 Ni 2.51, 4 Cu 2.53-2.72, 6 Al 2.53-2.63
Ni 0.0000 0.5000 0.0000  4 Al 2.45, 4 Cu 2.51, 2 Ni 2.72
Ni 0.5000 0.0000 0.0000  4 Al 2.45, 4 Cu 2.51, 2 Ni 2.72

***

Q ends up most stable, edging out the next structure by 173 meV/atom.

***

--- P ---
A plane-wave DFT calculation with PBEsol was carried out for a relaxed Al3Cu3Ni2 crystal.

Output
Space-group type: P-1, No. 2
Magnetization, Bohr magnetons per cell: 0.00

abc: 5.0161 6.3279 6.5974
angles: 79.65 72.15 74.72
With the nearest neighbours (Å) after each atom.
Sites, in units of the cell vectors:
Al 0.1045 0.4282 0.1927  3 Ni 2.41-2.45, 6 Cu 2.51-2.69
Al 0.3458 0.8341 0.0467  5 Ni 2.39-2.55, 3 Cu 2.49-2.52
Al 0.3916 0.2919 0.5526  3 Ni 2.40-2.45, 5 Cu 2.49-2.61
Al 0.6084 0.7081 0.4474  3 Ni 2.40-2.45, 5 Cu 2.49-2.61
Al 0.6542 0.1659 0.9533  5 Ni 2.39-2.55, 3 Cu 2.49-2.52
Al 0.8955 0.5718 0.8073  3 Ni 2.41-2.45, 6 Cu 2.51-2.69
Cu 0.1138 0.7065 0.4248  6 Al 2.49-2.74, 3 Cu 2.50-2.72, 2 Ni 2.71-2.72
Cu 0.1427 0.9208 0.7009  5 Ni 2.48-2.58, 3 Cu 2.50-2.53, 4 Al 2.61-2.76
Cu 0.4019 0.5394 0.8189  7 Al 2.51-2.58, 3 Cu 2.53-2.77, 1 Ni 2.64
Cu 0.5981 0.4606 0.1811  7 Al 2.51-2.58, 3 Cu 2.53-2.77, 1 Ni 2.64
Cu 0.8573 0.0792 0.2991  5 Ni 2.48-2.58, 3 Cu 2.50-2.53, 4 Al 2.61-2.76
Cu 0.8862 0.2935 0.5752  6 Al 2.49-2.74, 3 Cu 2.50-2.72, 2 Ni 2.71-2.72
Ni 0.1489 0.2033 0.9207  6 Al 2.39-2.55, 3 Cu 2.51-2.64
Ni 0.3544 0.0635 0.3066  5 Al 2.43-2.45, 4 Cu 2.48-2.71
Ni 0.6456 0.9365 0.6934  5 Al 2.43-2.45, 4 Cu 2.48-2.71
Ni 0.8511 0.7967 0.0793  6 Al 2.39-2.55, 3 Cu 2.51-2.64

***

--- Q ---
A plane-wave DFT calculation with PBEsol was carried out for a relaxed Al3Cu3Ni2 crystal.

Output
Space-group type: P-62m, No. 189
Magnetization, Bohr magnetons per cell: 0.00

abc: 6.4737 6.4737 2.6941
angles: 90.00 90.00 120.00
With the nearest neighbours (Å) after each atom.
Sites, in units of the cell vectors:
Al 0.0000 0.6006 0.0000  4 Ni 2.39, 4 Cu 2.62
Al 0.3994 0.3994 0.0000  4 Ni 2.39, 4 Cu 2.62
Al 0.6006 0.0000 0.0000  4 Ni 2.39, 4 Cu 2.62
Cu 0.0000 0.2275 0.5000  4 Cu 2.55-2.69, 2 Ni 2.57, 6 Al 2.62-2.77
Cu 0.2275 0.0000 0.5000  4 Cu 2.55-2.69, 2 Ni 2.57, 6 Al 2.62-2.77
Cu 0.7725 0.7725 0.5000  4 Cu 2.55-2.69, 2 Ni 2.57, 6 Al 2.62-2.77
Ni 0.3333 0.6667 0.5000  6 Al 2.39, 3 Cu 2.57
Ni 0.6667 0.3333 0.5000  6 Al 2.39, 3 Cu 2.57

***

P ends up most stable, edging out the next structure by 9 meV/atom.

***

--- P ---
A plane-wave DFT calculation with PBEsol was carried out for a relaxed Al2CuRh crystal.

Output
Space-group type: P4/mmm, No. 123
Magnetization, Bohr magnetons per cell: 0.00

abc: 4.2053 4.2053 2.9536
angles: 90.00 90.00 90.00
With the nearest neighbours (Å) after each atom.
Sites, in units of the cell vectors:
Al 0.0000 0.5000 0.0000  4 Rh 2.57, 4 Cu 2.57
Al 0.5000 0.0000 0.0000  4 Rh 2.57, 4 Cu 2.57
Cu 0.0000 0.0000 0.5000  8 Al 2.57
Rh 0.5000 0.5000 0.5000  8 Al 2.57

***

--- Q ---
A plane-wave DFT calculation with PBEsol was carried out for a relaxed Al2CuRh crystal.

Output
Space-group type: Cm, No. 8
Magnetization, Bohr magnetons per cell: 0.00

abc: 8.9861 2.9253 4.2245
angles: 90.00 107.41 90.00
With the nearest neighbours (Å) after each atom.
Sites, in units of the cell vectors:
Al 0.0000 0.0000 0.0000  3 Cu 2.54-2.57, 4 Rh 2.56-2.58, 2 Al 2.81
Al 0.2373 0.0000 0.6387  3 Rh 2.52-2.58, 4 Cu 2.56-2.58, 2 Al 2.81
Al 0.5000 0.5000 0.0000  3 Cu 2.54-2.57, 4 Rh 2.56-2.58, 2 Al 2.81
Al 0.7373 0.5000 0.6387  3 Rh 2.52-2.58, 4 Cu 2.56-2.58, 2 Al 2.81
Cu 0.2424 0.5000 0.1452  7 Al 2.54-2.58, 2 Rh 2.76
Cu 0.7425 0.0000 0.1452  7 Al 2.54-2.58, 2 Rh 2.76
Rh 0.4982 0.0000 0.5006  7 Al 2.52-2.58, 2 Cu 2.76
Rh 0.9982 0.5000 0.5006  7 Al 2.52-2.58, 2 Cu 2.76

***

P ends up most stable, edging out the next structure by 40 meV/atom.